No. 1
Crystalline MoIrOs2 at its relaxed geometry, computed with PBE-GGA.

Summary:
Crystal system: tetragonal
Energy above the most stable polymorph in this dataset (eV per atom): 0.771
SG: I-42d (122)
Spin magnetization (μB per cell): 0.00
Density (g/cm³): 17.00
Energy relative to the elements (eV/atom): 0.671

Unit cell a=3.8127 b=3.8127 c=17.9716 alpha=90.00 beta=90.00 gamma=90.00
Sites, in units of the cell vectors:
Mo 0.0000 0.0000 0.0000
Mo 0.0000 0.5000 0.2500
Mo 0.5000 0.0000 0.7500
Mo 0.5000 0.5000 0.5000
Ir 0.0000 0.0000 0.5000
Ir 0.0000 0.5000 0.7500
Ir 0.5000 0.0000 0.2500
Ir 0.5000 0.5000 0.0000
Os 0.2231 0.2500 0.6250
Os 0.2500 0.7231 0.8750
Os 0.2500 0.7769 0.3750
Os 0.2769 0.2500 0.1250
Os 0.7231 0.7500 0.1250
Os 0.7500 0.2231 0.3750
Os 0.7500 0.2769 0.8750
Os 0.7769 0.7500 0.6250

---

No. 2
Crystalline Cs2TlS6 at its relaxed geometry, computed with PBE-GGA.

Summary:
Crystal system: triclinic
SG: P-1 (2)
Spin magnetization (μB per cell): 0.00
Density (g/cm³): 3.24
Formation energy without anion corrections (kJ per mole of atoms): -48.99

Unit cell a=7.0428 b=7.0501 c=7.7185 alpha=88.74 beta=87.65 gamma=62.51
Sites, in units of the cell vectors:
Cs 0.1439 0.1517 0.1667
Cs 0.8561 0.8483 0.8333
Tl 0.5000 0.5000 0.5000
S 0.1266 0.6529 0.2444
S 0.1768 0.1941 0.6465
S 0.3455 0.8917 0.7446
S 0.6545 0.1083 0.2554
S 0.8232 0.8059 0.3535
S 0.8734 0.3471 0.7556

---

No. 3
Crystalline Li6Al3Cd2 at its relaxed geometry, computed with PBE-GGA.

Summary:
Crystal system: orthorhombic
SG: Cmmm (65)
Spin magnetization (μB per cell): 0.00
Density (g/cm³): 2.82
Energy relative to the elements (eV/atom): -0.049

Unit cell a=8.5835 b=8.5835 c=2.8938 alpha=90.00 beta=90.00 gamma=106.49
Sites, in units of the cell vectors:
Li 0.1185 0.4245 0.0000
Li 0.1558 0.8442 0.0000
Li 0.4245 0.1185 0.0000
Li 0.5755 0.8815 0.0000
Li 0.8442 0.1558 0.0000
Li 0.8815 0.5755 0.0000
Al 0.3295 0.6705 0.5000
Al 0.5000 0.5000 0.0000
Al 0.6705 0.3295 0.5000
Cd 0.1513 0.1513 0.5000
Cd 0.8487 0.8487 0.5000

---

No. 4
Crystalline HoAsF at its relaxed geometry, computed with PBE-GGA.

Summary:
Crystal system: hexagonal
Energy above the most stable polymorph in this dataset (eV per atom): 0.213
SG: P-6m2 (187)
Spin magnetization (μB per cell): 0.00
Density (g/cm³): 7.58
Formation energy without anion corrections (kJ per mole of atoms): -205.90

Unit cell a=3.8794 b=3.8794 c=4.3536 alpha=90.00 beta=90.00 gamma=120.00
Sites, in units of the cell vectors:
Ho 0.0000 0.0000 0.0000
As 0.6667 0.3333 0.5000
F 0.3333 0.6667 0.0000